Material: BaNiPO2
Method: DFT, PBE+U
State: relaxed

Cell: 4.3016 4.3016 4.3226 Å, 90.00 90.00 90.00°
Element x y z (fractional)
1 O 0.5000 0.0000 0.0000
2 O 0.0000 0.5000 0.0000
3 Ni 0.0000 0.0000 0.0000
4 Ba 0.5000 0.5000 0.5000
5 P 0.0000 0.0000 0.5000

Calculated values
- Density of states at the Fermi level: 3.43 states/eV per cell
- Volume: 80.0 Å³ per cell
- Offset from the most stable computed form: 0 meV per atom
- E_tot: -4.5152 eV per atom